# 1
# CsZrSe2N

Crystalline CsZrSe2N at its relaxed geometry (PBE, Alexandria).

Values from the calculation:
Space-group type ... No. 123
VASP energy ... -5.50 eV/atom
E_form (uncorrected) ... -564 meV/atom
Calculated volume ... 131.97 Å³/cell

a b c (Å): 5.4851 5.4851 4.3865
angles (deg): 90.00 90.00 90.00
Last column: nearest neighbours and their distance in Å.
Sites, in units of the cell vectors:
Cs (0.5000, 0.5000, 0.5000)  8 Se 3.51, 4 N 3.88
Se (0.5000, 0.0000, 0.0000)  2 Zr 2.74
Se (0.0000, 0.5000, 0.0000)  2 Zr 2.74
N (0.0000, 0.0000, 0.5000)  2 Zr 2.19
Zr (0.0000, 0.0000, 0.0000)  2 N 2.19

# 2
# Cs2SiN

Crystalline Cs2SiN at its relaxed geometry (PBE, Alexandria).

Values from the calculation:
Space-group type ... No. 225
VASP energy ... -2.38 eV/atom
E_form (uncorrected) ... 1488 meV/atom
Calculated volume ... 130.12 Å³/cell

a b c (Å): 5.6879 5.6879 5.6879
angles (deg): 60.00 60.00 60.00
Last column: nearest neighbours and their distance in Å.
Sites, in units of the cell vectors:
Cs (0.2500, 0.2500, 0.2500)  4 Si 3.48, 4 N 3.48
Cs (0.7500, 0.7500, 0.7500)  4 Si 3.48, 4 N 3.48
N (0.0000, 0.0000, 0.0000)  8 Cs 3.48
Si (0.5000, 0.5000, 0.5000)  8 Cs 3.48

# 3
# CsSi3N

Crystalline CsSi3N at its relaxed geometry (PBE, Alexandria).

Values from the calculation:
Space-group type ... No. 221
VASP energy ... -1.63 eV/atom
E_form (uncorrected) ... 3462 meV/atom
Calculated volume ... 176.74 Å³/cell

a b c (Å): 5.6119 5.6119 5.6119
angles (deg): 90.00 90.00 90.00
Last column: nearest neighbours and their distance in Å.
Sites, in units of the cell vectors:
Si (0.0000, 0.5000, 0.0000)  2 Cs 2.81
Si (0.5000, 0.0000, 0.0000)  2 Cs 2.81
Si (0.0000, 0.0000, 0.5000)  2 Cs 2.81
Cs (0.0000, 0.0000, 0.0000)  6 Si 2.81
N (0.5000, 0.5000, 0.5000)  12 Si 3.97

# 4
# CsSiN

Crystalline CsSiN at its relaxed geometry (PBE, Alexandria).

Values from the calculation:
Space-group type ... No. 1
VASP energy ... -4.96 eV/atom
E_form (uncorrected) ... -89 meV/atom
Calculated volume ... 179.15 Å³/cell

a b c (Å): 4.8407 6.7757 9.8330
angles (deg): 54.50 55.76 45.03
Last column: nearest neighbours and their distance in Å.
Sites, in units of the cell vectors:
N (0.0206, 0.9797, 0.9776)  1 Si 1.64
N (0.8302, 0.2033, 0.6539)  2 Si 1.66-1.71
Cs (0.9416, 0.5375, 0.9741)  3 N 3.15-3.50
Cs (0.7153, 0.8448, 0.3551)  1 N 2.93
Si (0.0272, 0.1682, 0.7726)  2 N 1.64-1.71
Si (0.6029, 0.2190, 0.5665)  1 N 1.66

# 5
# CsSi2N3

Crystalline CsSi2N3 at its relaxed geometry (PBE, Alexandria).

Values from the calculation:
Space-group type ... No. 36
VASP energy ... -6.68 eV/atom
E_form (uncorrected) ... -566 meV/atom
Calculated volume ... 151.19 Å³/cell

a b c (Å): 5.7128 5.7128 5.2284
angles (deg): 90.00 90.00 117.62
Last column: nearest neighbours and their distance in Å.
Sites, in units of the cell vectors:
N (0.8509, 0.8509, 0.4830)  2 Si 1.70
N (0.8786, 0.3597, 0.3201)  3 Si 1.86-1.89
N (0.3597, 0.8786, 0.3201)  3 Si 1.86-1.89
N (0.1214, 0.6403, 0.8201)  3 Si 1.86-1.89
N (0.6403, 0.1214, 0.8201)  3 Si 1.86-1.89
N (0.1491, 0.1491, 0.9830)  2 Si 1.70
Si (0.0389, 0.6909, 0.4880)  4 N 1.70-1.89
Si (0.6909, 0.0389, 0.4880)  4 N 1.70-1.89
Si (0.3091, 0.9611, 0.9880)  4 N 1.70-1.89
Si (0.9611, 0.3091, 0.9880)  4 N 1.70-1.89
Cs (0.3512, 0.3512, 0.4888)  10 N 2.85-3.12, 2 Cs 3.15, 2 Si 3.19
Cs (0.6488, 0.6488, 0.9888)  10 N 2.85-3.12, 2 Cs 3.15, 2 Si 3.19

# 6
# CsSiN3

Crystalline CsSiN3 at its relaxed geometry (PBE, Alexandria).

Values from the calculation:
Space-group type ... No. 221
VASP energy ... -5.08 eV/atom
E_form (uncorrected) ... 1175 meV/atom
Calculated volume ... 60.18 Å³/cell

a b c (Å): 3.9187 3.9187 3.9187
angles (deg): 90.00 90.00 90.00
Last column: nearest neighbours and their distance in Å.
Sites, in units of the cell vectors:
N (0.0000, 0.5000, 0.0000)  2 Si 1.96
N (0.0000, 0.0000, 0.5000)  2 Si 1.96
N (0.5000, 0.0000, 0.0000)  2 Si 1.96
Si (0.0000, 0.0000, 0.0000)  6 N 1.96
Cs (0.5000, 0.5000, 0.5000)  12 N 2.77

# 7
# Cs3Si2N4

Crystalline Cs3Si2N4 at its relaxed geometry (PBE, Alexandria).

Values from the calculation:
Space-group type ... No. 74
VASP energy ... -5.65 eV/atom
E_form (uncorrected) ... -461 meV/atom
Calculated volume ... 375.69 Å³/cell

a b c (Å): 5.7633 9.3293 9.3293
angles (deg): 52.93 107.97 107.97
Last column: nearest neighbours and their distance in Å.
Sites, in units of the cell vectors:
N (0.6997, 0.6996, 0.6995)  2 Si 1.74
N (0.3003, 0.3004, 0.3005)  2 Si 1.74
N (0.8003, 0.3005, 0.3004)  2 Si 1.74
N (0.5775, 0.0251, 0.6301)  2 Si 1.79-1.80
N (0.9225, 0.3699, 0.9749)  2 Si 1.79-1.80
N (0.0775, 0.6301, 0.0251)  2 Si 1.79-1.80
N (0.1997, 0.6995, 0.6996)  2 Si 1.74
N (0.4225, 0.9749, 0.3699)  2 Si 1.79-1.80
Si (0.4727, 0.8324, 0.6129)  4 N 1.74-1.80
Si (0.5273, 0.1676, 0.3871)  4 N 1.74-1.80
Si (0.0273, 0.3871, 0.1676)  4 N 1.74-1.80
Si (0.9727, 0.6129, 0.8324)  4 N 1.74-1.80
Cs (0.3805, 0.3036, 0.9571)  5 N 2.96-3.26, 1 Si 3.29
Cs (0.2500, 0.6457, 0.3543)  2 N 3.00
Cs (0.1195, 0.0429, 0.6964)  5 N 2.96-3.26, 1 Si 3.29
Cs (0.7500, 0.3543, 0.6457)  2 N 3.00
Cs (0.8805, 0.9571, 0.3036)  5 N 2.96-3.26, 1 Si 3.29
Cs (0.6195, 0.6964, 0.0429)  5 N 2.96-3.26, 1 Si 3.29

# 8
# Cs2TaSiN

Crystalline Cs2TaSiN at its relaxed geometry (PBE, Alexandria).

Values from the calculation:
Space-group type ... No. 123
VASP energy ... -4.70 eV/atom
E_form (uncorrected) ... 764 meV/atom
Calculated volume ... 185.35 Å³/cell

a b c (Å): 6.8424 3.9589 6.8424
angles (deg): 90.00 90.00 90.00
Last column: nearest neighbours and their distance in Å.
Sites, in units of the cell vectors:
N (0.0000, 0.0000, 0.0000)  2 Ta 1.98
Cs (0.5000, 0.0000, 0.0000)  2 N 3.42
Cs (0.0000, 0.0000, 0.5000)  2 N 3.42
Ta (0.0000, 0.5000, 0.0000)  2 N 1.98
Si (0.5000, 0.5000, 0.5000)  8 Cs 3.95, 2 Si 3.96